1.
## NbPPd (PBE-GGA)

Data for a geometry-optimized NbPPd structure.

Cell lengths 3.2848, 4.6430, 6.3365 Å; angles 90.00, 90.00, 90.00 degrees
Sites, in units of the cell vectors:
Pd: 0.0000 0.1449 0.2293
Pd: 0.0000 0.8551 0.7293
Nb: 0.5000 0.6330 0.3819
Nb: 0.5000 0.3670 0.8819
P: 0.0000 0.3134 0.5802
P: 0.0000 0.6866 0.0802

## Properties
- Formation energy from the elements: -1.73 eV per formula unit
- Fermi-level density of states: 1.52 states/eV/f.u.
- Final energy: -0.5488 Ry per atom
- SG: No. 26

2.
## RbSeS2 (PBE-GGA)

Data for a geometry-optimized RbSeS2 structure.

Cell lengths 9.1055, 9.1055, 9.1055 Å; angles 25.54, 25.54, 25.54 degrees
Sites, in units of the cell vectors:
Rb: 0.0000 0.0000 0.0000
Se: 0.5000 0.5000 0.5000
S: 0.8805 0.8805 0.8805
S: 0.1195 0.1195 0.1195

## Properties
- Uncorrected formation energy: 0.104 eV per atom
- Fermi-level density of states: 1.61 states/eV/f.u.
- Final energy: -0.2259 Ry per atom
- SG: No. 166

3.
## TaAs2Ir (PBE-GGA)

Data for a geometry-optimized TaAs2Ir structure.

Cell lengths 5.3971, 5.3971, 5.3971 Å; angles 144.61, 133.15, 60.05 degrees
Sites, in units of the cell vectors:
Ta: 0.2499 0.7499 0.5000
Ir: 0.5211 0.5211 0.0000
As: 0.7275 0.2275 0.5000
As: 0.0016 0.0016 0.0000

## Properties
- Formation energy from the elements: -0.25 eV per formula unit
- Fermi-level density of states: 1.54 states/eV/f.u.
- Final energy: -0.5560 Ry per atom
- SG: No. 44

4.
## MnNbTl2 (PBE-GGA)

Data for a geometry-optimized MnNbTl2 structure.

Cell lengths 7.6417, 7.6417, 6.1686 Å; angles 51.73, 51.73, 90.00 degrees
Site moments in Bohr magnetons follow the coordinates.
Sites, in units of the cell vectors:
Tl: 0.1428 0.6250 0.2500  -0.03
Tl: 0.3750 0.3928 0.7500  -0.02
Tl: 0.8750 0.8572 0.7500  -0.03
Tl: 0.6072 0.1250 0.2500  -0.02
Mn: 0.2500 0.7500 0.5000  3.54
Mn: 0.5000 0.5000 0.0000  3.52
Nb: 0.0000 0.0000 0.0000  -0.45
Nb: 0.7500 0.2500 0.5000  -0.44

## Properties
- Formation energy from the elements: 2.94 eV per formula unit
- Fermi-level density of states: 3.93 states/eV/f.u.
- Final energy: -0.3865 Ry per atom
- SG: No. 122

5.
## SrLiDyPb (PBE-GGA)

Data for a geometry-optimized SrLiDyPb structure.

Cell lengths 5.5300, 5.5300, 5.5300 Å; angles 60.00, 60.00, 60.00 degrees
Sites, in units of the cell vectors:
Dy: 0.7500 0.7500 0.7500
Li: 0.0000 0.0000 0.0000
Pb: 0.5000 0.5000 0.5000
Sr: 0.2500 0.2500 0.2500

## Properties
- Formation energy from the elements: -1.01 eV per formula unit
- Fermi-level density of states: 2.05 states/eV/f.u.
- Final energy: -0.2373 Ry per atom
- SG: No. 216

6.
## Na2SnIrO6 (PBE-GGA)

Data for a geometry-optimized Na2SnIrO6 structure.

Cell lengths 3.9061, 5.6619, 5.6619 Å; angles 90.00, 90.00, 90.00 degrees
Sites, in units of the cell vectors:
Ir: 0.6449 0.0000 0.0000
O: 0.1451 0.0000 0.0000
O: 0.6453 0.2415 0.7585
O: 0.6453 0.7585 0.7585
O: 0.6453 0.2415 0.2415
O: 0.1446 0.5000 0.5000
O: 0.6453 0.7585 0.2415
Sn: 0.6446 0.5000 0.5000
Na: 0.1431 0.0000 0.5000
Na: 0.1431 0.5000 0.0000

## Properties
- Uncorrected formation energy: -1.121 eV per atom
- Fermi-level density of states: 6.51 states/eV/f.u.
- Final energy: -0.4150 Ry per atom
- SG: No. 99

Copy entry 2 word for word.
## RbSeS2 (PBE-GGA)

Data for a geometry-optimized RbSeS2 structure.

Cell lengths 9.1055, 9.1055, 9.1055 Å; angles 25.54, 25.54, 25.54 degrees
Sites, in units of the cell vectors:
Rb: 0.0000 0.0000 0.0000
Se: 0.5000 0.5000 0.5000
S: 0.8805 0.8805 0.8805
S: 0.1195 0.1195 0.1195

## Properties
- Uncorrected formation energy: 0.104 eV per atom
- Fermi-level density of states: 1.61 states/eV/f.u.
- Final energy: -0.2259 Ry per atom
- SG: No. 166

Which of these has the highest Fermi-level density of states? Na2SnIrO6